(1)
11
Lattice="-3.0162 -0.5522 -4.1659 -4.6781 -5.2899 4.0881 -2.2406 8.6076 3.6927" Properties=species:S:1:pos:R:3 comment="Tb2Pr8Mg PBE-GGA relaxed" sg="C2/m, No. 12" total_magnetization_mub_per_cell=0.0 ef_ev_per_atom=0.01 pbc="T T T"
Tb -5.2757 2.3628 0.2951
Tb -4.6591 0.4028 3.3199
Pr -5.6400 3.8968 3.5669
Pr -7.1202 -2.0775 2.2191
Pr -8.0473 1.4448 2.4235
Pr -6.2032 5.8383 0.5060
Pr -1.8875 1.3208 1.1915
Pr -2.8146 4.8431 1.3959
Pr -4.2948 -1.1312 0.0481
Pr -3.7316 -3.0727 3.1090
Mg -1.5081 -0.2761 -2.0829


(2)
11
Lattice="-3.3384 -0.8527 0.4460 2.1273 -8.9129 -1.1168 2.3565 3.8951 11.5529" Properties=species:S:1:pos:R:3 comment="Tb4Pm5Sc2 PBE-GGA relaxed" sg="Immm, No. 71" total_magnetization_mub_per_cell=0.0 ef_ev_per_atom=0.24 pbc="T T T"
Tb 0.6546 -2.7426 -0.3437
Tb -0.2588 -5.0784 1.8859
Tb 1.4727 -6.1704 -0.7732
Tb 1.4042 -0.7921 8.9962
Pm -1.0806 1.5046 8.3207
Pm 0.1678 -3.7256 7.6653
Pm 0.9776 -2.1450 3.2168
Pm 2.2260 -7.3751 2.5614
Pm -1.6692 -0.4264 0.2230
Sc 0.9450 -0.5331 6.0544
Sc 0.2004 -5.3374 4.8277


(3)
6
Lattice="2.9370 -2.6358 -7.1840 6.1276 -0.7863 -5.3867 2.4534 -6.1396 1.9626" Properties=species:S:1:pos:R:3 comment="SbCl PBE-GGA relaxed" sg="Cm, No. 8" total_magnetization_mub_per_cell=0.0 e_tot_ev_per_atom=-3.44 pbc="T T T"
Sb 8.3573 -3.3276 -11.4123
Sb 1.1293 -1.6958 -0.2597
Sb 6.3392 -2.8234 -8.3483
Cl 8.0549 -6.8469 -7.2539
Cl 4.0131 -3.0342 -4.0019
Cl 6.1265 -6.4112 -4.2787


(4)
6
Lattice="1.6440 6.0242 0.0609 -1.6440 6.0242 0.0609 0.0000 2.5003 7.2783" Properties=species:S:1:pos:R:3 comment="Mg2Sn PBE-GGA relaxed" sg="C2/m, No. 12" total_magnetization_mub_per_cell=0.0 ef_ev_per_atom=-0.06 pbc="T T T"
Mg 0.0000 3.9900 1.0335
Mg 0.0000 0.7514 1.3905
Mg 0.0000 13.7973 6.0095
Mg 0.0000 10.5587 6.3666
Sn 0.0000 8.8503 3.5006
Sn 0.0000 5.6984 3.8994


(5)
4
Lattice="3.2972 0.0000 0.0000 -1.6486 2.8555 0.0000 0.0000 0.0000 8.5955" Properties=species:S:1:pos:R:3 comment="SbH PBE-GGA relaxed" sg="P6_3mc, No. 186" total_magnetization_mub_per_cell=0.0 e_tot_ev_per_atom=-3.46 pbc="T T T"
Sb 0.0000 1.9037 5.5255
Sb 1.6486 0.9518 1.2278
H 0.0000 1.9037 3.7748
H 1.6486 0.9518 8.0725


(6)
5
Lattice="5.7531 0.0000 0.0000 0.0000 5.7531 0.0000 0.0000 0.0000 5.7531" Properties=species:S:1:pos:R:3 comment="HfSnBr3 PBE-GGA relaxed" sg="Pm-3m, No. 221" total_magnetization_mub_per_cell=1.0 e_tot_ev_per_atom=-3.39 pbc="T T T"
Hf 2.8766 2.8766 2.8766
Sn 0.0000 0.0000 0.0000
Br 0.0000 2.8766 0.0000
Br 0.0000 0.0000 2.8766
Br 2.8766 0.0000 0.0000